# 1
Computed, not measured: a geometry-optimized Na3SnPt structure at the GGA-PBE level of DFT.

It has space group Pm-3m (No. 221), with a = 5.375 Å, b = 5.375 Å, c = 5.375 Å, α = 90.00°, β = 90.00° and γ = 90.00°. The inequivalent atoms are Na at (0.000, 0.000, 0.500), Sn at (0.500, 0.500, 0.500) and Pt at (0.000, 0.000, 0.000).

The value obtained for the density of states at the Fermi level is 3.1 states/eV/f.u. The crystal system is cubic. The polymorph energy (0 for the lowest one) comes out at 0.00 eV per formula unit. The calculation puts the uncorrected energy at -2.552 eV/atom. The calculation puts the magnetization at 0.00 μB/cell.

***

# 2
Computed, not measured: a geometry-optimized Na6Sn2Pt structure at the GGA-PBE level of DFT.

It has space group C2/m (No. 12), with a = 8.659 Å, b = 15.742 Å, c = 3.834 Å, α = 90.00°, β = 106.90° and γ = 90.00°. The inequivalent atoms are Na at (0.187, 0.172, 0.268), Na at (0.200, 0.000, 0.794), Sn at (0.000, 0.374, 0.000) and Pt at (0.000, 0.500, 0.500).

The value obtained for the density of states at the Fermi level is 4.6 states/eV/f.u. The crystal system is monoclinic. The polymorph energy (0 for the lowest one) comes out at 0.38 eV per formula unit. The calculation puts the uncorrected energy at -2.613 eV/atom. The calculation puts the magnetization at 0.00 μB/cell.

***

> Which formula does entry 1 have?

Na3SnPt

***

Please write out number 1 again, unchanged.
Computed, not measured: a geometry-optimized Na3SnPt structure at the GGA-PBE level of DFT.

It has space group Pm-3m (No. 221), with a = 5.375 Å, b = 5.375 Å, c = 5.375 Å, α = 90.00°, β = 90.00° and γ = 90.00°. The inequivalent atoms are Na at (0.000, 0.000, 0.500), Sn at (0.500, 0.500, 0.500) and Pt at (0.000, 0.000, 0.000).

The value obtained for the density of states at the Fermi level is 3.1 states/eV/f.u. The crystal system is cubic. The polymorph energy (0 for the lowest one) comes out at 0.00 eV per formula unit. The calculation puts the uncorrected energy at -2.552 eV/atom. The calculation puts the magnetization at 0.00 μB/cell.